First-principles (PBE) data for Ti4ZnPd after structural relaxation, as listed in Alexandria via LeMat-Bulk.

As for the magnetization: 0.000 Bohr magnetons per cell. The energy of formation comes out at -0.305 eV/atom. The polymorph energy (0 for the lowest one) comes out at 0.00 eV/f.u. The crystal system is tetragonal.

The space group is P4/mmm (No. 123) and the conventional cell measures 3.092, 3.092 and 10.164 Å, with angles of 90.00, 90.00 and 90.00 degrees. The distinct sites, in fractional coordinates, are Ti at (0.000, 0.000, 0.164), Ti at (0.500, 0.500, 0.335), Zn at (0.000, 0.000, 0.500) and Pd at (0.500, 0.500, 0.000).

***

First-principles (PBE) data for Ti2ZnPd after structural relaxation, as listed in Alexandria via LeMat-Bulk.

As for the magnetization: 0.007 Bohr magnetons per cell. The energy of formation comes out at -0.339 eV/atom. The crystal system is tetragonal.

The space group is I4/mmm (No. 139) and the conventional cell measures 3.879, 3.879 and 8.223 Å, with angles of 90.00, 90.00 and 90.00 degrees. The distinct sites, in fractional coordinates, are Ti at (0.000, 0.500, 0.250), Zn at (0.000, 0.000, 0.000) and Pd at (0.000, 0.000, 0.500).

***

First-principles (PBE) data for TiZnPd2 after structural relaxation, as listed in Alexandria via LeMat-Bulk.

As for the magnetization: 0.009 Bohr magnetons per cell. The energy of formation comes out at -0.545 eV/atom. The crystal system is tetragonal.

The space group is P4/mmm (No. 123) and the conventional cell measures 3.272, 3.272 and 5.694 Å, with angles of 90.00, 90.00 and 90.00 degrees. The distinct sites, in fractional coordinates, are Ti at (0.000, 0.000, 0.000), Zn at (0.000, 0.000, 0.500) and Pd at (0.500, 0.500, 0.249).

***

First-principles (PBE) data for Ti7ZnPd12 after structural relaxation, as listed in Alexandria via LeMat-Bulk.

As for the magnetization: 0.014 Bohr magnetons per cell. The energy of formation comes out at -0.353 eV/atom. The crystal system is trigonal.

The space group is R-3 (No. 148, hexagonal axes) and the conventional cell measures 9.9189, 9.9189 and 11.5340 Å, with angles of 90.00, 90.00 and 120.00 degrees. The distinct sites, in fractional coordinates, are Ti at (0.0000, 0.0000, 0.0000), Ti at (0.0192, 0.1928, 0.3044), Zn at (0.0000, 0.0000, 0.5000), Pd at (0.0276, 0.4579, 0.1888) and Pd at (0.0746, 0.5921, 0.5882).

***

First-principles (PBE) data for Ti3Zn4Pd after structural relaxation, as listed in Alexandria via LeMat-Bulk.

As for the magnetization: 0.001 Bohr magnetons per cell. The energy of formation comes out at -0.256 eV/atom. The polymorph energy (0 for the lowest one) comes out at 0.00 eV/f.u. The crystal system is tetragonal.

The space group is P4/mmm (No. 123) and the conventional cell measures 3.153, 3.153 and 12.313 Å, with angles of 90.00, 90.00 and 90.00 degrees. The distinct sites, in fractional coordinates, are Ti at (0.000, 0.000, 0.000), Ti at (0.000, 0.000, 0.254), Zn at (0.500, 0.500, 0.126), Zn at (0.500, 0.500, 0.384) and Pd at (0.000, 0.000, 0.500).

***

First-principles (PBE) data for Ti4ZnPd after structural relaxation, as listed in Alexandria via LeMat-Bulk.

As for the magnetization: 0.109 Bohr magnetons per cell. The energy of formation comes out at 0.191 eV/atom. The polymorph energy (0 for the lowest one) comes out at 2.98 eV/f.u. The crystal system is tetragonal.

The space group is P4/mmm (No. 123) and the conventional cell measures 4.269, 4.269 and 6.165 Å, with angles of 90.00, 90.00 and 90.00 degrees. The distinct sites, in fractional coordinates, are Ti at (0.000, 0.500, 0.248), Zn at (0.000, 0.000, 0.000) and Pd at (0.500, 0.500, 0.500).

***

First-principles (PBE) data for Ti4Zn5Pd2 after structural relaxation, as listed in Alexandria via LeMat-Bulk.

As for the magnetization: 0.000 Bohr magnetons per cell. The energy of formation comes out at -0.281 eV/atom. The crystal system is monoclinic.

The space group is P2/m (No. 10) and the conventional cell measures 6.912, 2.692 and 9.219 Å, with angles of 90.00, 93.82 and 90.00 degrees. The distinct sites, in fractional coordinates, are Ti at (0.149, 0.000, 0.393), Ti at (0.283, 0.000, 0.951), Zn at (0.210, 0.500, 0.666), Zn at (0.436, 0.500, 0.211), Zn at (0.500, 0.500, 0.500) and Pd at (0.059, 0.500, 0.144).

***

First-principles (PBE) data for Ti3Zn2Pd after structural relaxation, as listed in Alexandria via LeMat-Bulk.

As for the magnetization: 0.007 Bohr magnetons per cell. The energy of formation comes out at 0.076 eV/atom. The polymorph energy (0 for the lowest one) comes out at 2.10 eV/f.u. The crystal system is orthorhombic.

The space group is Immm (No. 71) and the conventional cell measures 2.627, 4.948 and 15.387 Å, with angles of 90.00, 90.00 and 90.00 degrees. The distinct sites, in fractional coordinates, are Ti at (0.000, 0.000, 0.000), Ti at (0.000, 0.500, 0.172), Zn at (0.000, 0.500, 0.343) and Pd at (0.000, 0.500, 0.000).

***

First-principles (PBE) data for Ti2ZnPd4 after structural relaxation, as listed in Alexandria via LeMat-Bulk.

As for the magnetization: 0.000 Bohr magnetons per cell. The energy of formation comes out at -0.514 eV/atom. The polymorph energy (0 for the lowest one) comes out at 0.00 eV/f.u. The crystal system is trigonal.

The space group is R-3m (No. 166, hexagonal axes) and the conventional cell measures 4.4595, 4.4595 and 18.9540 Å, with angles of 90.00, 90.00 and 120.00 degrees. The distinct sites, in fractional coordinates, are Ti at (0.0000, 0.0000, 0.2271), Zn at (0.0000, 0.0000, 0.5000), Pd at (0.0000, 0.0000, 0.0887) and Pd at (0.0000, 0.0000, 0.3634).

***

First-principles (PBE) data for Ti3Zn4Pd4 after structural relaxation, as listed in Alexandria via LeMat-Bulk.

As for the magnetization: 2.217 Bohr magnetons per cell. The energy of formation comes out at -0.350 eV/atom. The polymorph energy (0 for the lowest one) comes out at 1.39 eV/f.u. The crystal system is orthorhombic.

The space group is Immm (No. 71) and the conventional cell measures 2.930, 7.346 and 16.380 Å, with angles of 90.00, 90.00 and 90.00 degrees. The distinct sites, in fractional coordinates, are Ti at (0.000, 0.000, 0.000), Ti at (0.000, 0.500, 0.106), Zn at (0.000, 0.318, 0.348), Pd at (0.000, 0.000, 0.258) and Pd at (0.000, 0.194, 0.500).

***

First-principles (PBE) data for Ti3Zn4Pd4 after structural relaxation, as listed in Alexandria via LeMat-Bulk.

As for the magnetization: 0.414 Bohr magnetons per cell. The energy of formation comes out at -0.477 eV/atom. The polymorph energy (0 for the lowest one) comes out at 0.00 eV/f.u. The crystal system is orthorhombic.

The space group is Immm (No. 71) and the conventional cell measures 3.202, 3.359 and 31.017 Å, with angles of 90.00, 90.00 and 90.00 degrees. The distinct sites, in fractional coordinates, are Ti at (0.000, 0.000, 0.000), Ti at (0.000, 0.000, 0.363), Zn at (0.000, 0.000, 0.091), Zn at (0.000, 0.000, 0.272), Pd at (0.000, 0.000, 0.182) and Pd at (0.000, 0.000, 0.453).

***

First-principles (PBE) data for Ti5Zn6Pd after structural relaxation, as listed in Alexandria via LeMat-Bulk.

As for the magnetization: 3.229 Bohr magnetons per cell. The energy of formation comes out at -0.220 eV/atom. The crystal system is orthorhombic.

The space group is Immm (No. 71) and the conventional cell measures 3.975, 7.701 and 12.058 Å, with angles of 90.00, 90.00 and 90.00 degrees. The distinct sites, in fractional coordinates, are Ti at (0.000, 0.000, 0.000), Ti at (0.000, 0.000, 0.325), Ti at (0.000, 0.500, 0.339), Zn at (0.000, 0.241, 0.500), Zn at (0.000, 0.255, 0.165) and Pd at (0.000, 0.500, 0.000).

***

Repeat the tenth record exactly.
First-principles (PBE) data for Ti3Zn4Pd4 after structural relaxation, as listed in Alexandria via LeMat-Bulk.

As for the magnetization: 2.217 Bohr magnetons per cell. The energy of formation comes out at -0.350 eV/atom. The polymorph energy (0 for the lowest one) comes out at 1.39 eV/f.u. The crystal system is orthorhombic.

The space group is Immm (No. 71) and the conventional cell measures 2.930, 7.346 and 16.380 Å, with angles of 90.00, 90.00 and 90.00 degrees. The distinct sites, in fractional coordinates, are Ti at (0.000, 0.000, 0.000), Ti at (0.000, 0.500, 0.106), Zn at (0.000, 0.318, 0.348), Pd at (0.000, 0.000, 0.258) and Pd at (0.000, 0.194, 0.500).

***

Q: Which of these has the highest magnetization?
A: Ti5Zn6Pd